Entry 1:
First-principles (GGA-PBEsol) data for a relaxed structure of Ba2ZrBe, as listed in the Alexandria database.

The value obtained for the energy relative to the elements is 846.5 meV/atom.

The space group is I-4m2 (No. 119) and the conventional cell measures 5.401, 5.401 and 7.671 Å, with angles of 90.00, 90.00 and 90.00 degrees. The inequivalent atoms are Ba at (0.000, 0.000, 0.000), Ba at (0.000, 0.500, 0.250), Zr at (0.000, 0.000, 0.500) and Be at (0.000, 0.500, 0.750).

=====

Entry 2:
First-principles (GGA-PBEsol) data for a relaxed structure of BaZr3Be, as listed in the Alexandria database.

The value obtained for the energy relative to the elements is 577.4 meV/atom.

The space group is Pm-3m (No. 221) and the conventional cell measures 4.929, 4.929 and 4.929 Å, with angles of 90.00, 90.00 and 90.00 degrees. The inequivalent atoms are Ba at (0.000, 0.000, 0.000), Zr at (0.000, 0.500, 0.500) and Be at (0.500, 0.500, 0.500).

=====

Entry 3:
First-principles (GGA-PBEsol) data for a relaxed structure of BaZrBe2, as listed in the Alexandria database.

The value obtained for the energy relative to the elements is 449.6 meV/atom. The energy above the lowest structure with this stoichiometry comes out at 0.000 eV/atom.

The space group is Imm2 (No. 44) and the conventional cell measures 3.593, 4.119 and 11.939 Å, with angles of 90.00, 90.00 and 90.00 degrees. The inequivalent atoms are Ba at (0.000, 0.000, 0.000), Zr at (0.000, 0.500, 0.231), Be at (0.000, 0.000, 0.352) and Be at (0.000, 0.500, 0.762).

=====

Entry 4:
First-principles (GGA-PBEsol) data for a relaxed structure of BaZrBe2, as listed in the Alexandria database.

The value obtained for the energy relative to the elements is 1043.0 meV/atom. The energy above the lowest structure with this stoichiometry comes out at 0.593 eV/atom.

The space group is F-43m (No. 216) and the conventional cell measures 6.764, 6.764 and 6.764 Å, with angles of 90.00, 90.00 and 90.00 degrees. The inequivalent atoms are Ba at (0.000, 0.000, 0.000), Zr at (0.250, 0.250, 0.750), Be at (0.000, 0.000, 0.500) and Be at (0.250, 0.250, 0.250).

=====

Entry 5:
First-principles (GGA-PBEsol) data for a relaxed structure of Ba11Bi10, as listed in the Alexandria database.

The value obtained for the energy relative to the elements is -913.9 meV/atom.

The space group is I4/mmm (No. 139) and the conventional cell measures 13.239, 13.239 and 19.345 Å, with angles of 90.00, 90.00 and 90.00 degrees. The inequivalent atoms are Ba at (0.000, 0.000, 0.156), Ba at (0.000, 0.251, 0.310), Ba at (0.000, 0.331, 0.104), Ba at (0.168, 0.168, 0.500), Bi at (0.000, 0.000, 0.383), Bi at (0.000, 0.358, 0.500), Bi at (0.000, 0.500, 0.250), Bi at (0.120, 0.120, 0.000) and Bi at (0.210, 0.210, 0.179).

=====

Entry 6:
First-principles (GGA-PBEsol) data for a relaxed structure of Ba4Bi3, as listed in the Alexandria database.

The value obtained for the energy relative to the elements is -930.3 meV/atom.

The space group is I-43d (No. 220) and the conventional cell measures 10.531, 10.531 and 10.531 Å, with angles of 90.00, 90.00 and 90.00 degrees. The inequivalent atoms are Ba at (0.073, 0.427, 0.573) and Bi at (0.000, 0.250, 0.875).

=====

Entry 7:
First-principles (GGA-PBEsol) data for a relaxed structure of Ba2BiBr, as listed in the Alexandria database.

Its formation energy without anion corrections is -1378 meV/atom.

The space group is Fm-3m (No. 225) and the conventional cell measures 8.362, 8.362 and 8.362 Å, with angles of 90.00, 90.00 and 90.00 degrees. The inequivalent atoms are Ba at (0.250, 0.250, 0.250), Bi at (0.000, 0.000, 0.000) and Br at (0.000, 0.000, 0.500).

=====

Entry 8:
First-principles (GGA-PBEsol) data for a relaxed structure of BaTiBiC2, as listed in the Alexandria database.

The value obtained for the energy relative to the elements is 2690.0 meV/atom.

The space group is P4/mmm (No. 123) and the conventional cell measures 4.660, 4.660 and 6.159 Å, with angles of 90.00, 90.00 and 90.00 degrees. The inequivalent atoms are Ba at (0.000, 0.000, 0.000), Ti at (0.500, 0.500, 0.000), Bi at (0.000, 0.000, 0.500) and C at (0.000, 0.500, 0.500).

=====

Entry 9:
First-principles (GGA-PBEsol) data for a relaxed structure of Ba2ZrBiC, as listed in the Alexandria database.

The value obtained for the energy relative to the elements is 1468.1 meV/atom.

The space group is P4/mmm (No. 123) and the conventional cell measures 6.210, 6.210 and 5.440 Å, with angles of 90.00, 90.00 and 90.00 degrees. The inequivalent atoms are Ba at (0.000, 0.500, 0.000), Zr at (0.000, 0.000, 0.000), Bi at (0.000, 0.000, 0.500) and C at (0.500, 0.500, 0.500).

=====

Entry 10:
First-principles (GGA-PBEsol) data for a relaxed structure of Ba2CaBi2, as listed in the Alexandria database.

The value obtained for the energy relative to the elements is -837.1 meV/atom.

The space group is P4/mbm (No. 127) and the conventional cell measures 9.109, 9.109 and 4.735 Å, with angles of 90.00, 90.00 and 90.00 degrees. The inequivalent atoms are Ba at (0.134, 0.366, 0.000), Ca at (0.000, 0.000, 0.500) and Bi at (0.171, 0.671, 0.500).

=====

Entry 11:
First-principles (GGA-PBEsol) data for a relaxed structure of BaCaBi2, as listed in the Alexandria database.

The value obtained for the energy relative to the elements is -720.0 meV/atom.

The space group is Fm-3m (No. 225) and the conventional cell measures 8.188, 8.188 and 8.188 Å, with angles of 90.00, 90.00 and 90.00 degrees. The inequivalent atoms are Ba at (0.000, 0.000, 0.000), Ca at (0.000, 0.000, 0.500) and Bi at (0.250, 0.250, 0.250).

=====

Entry 12:
First-principles (GGA-PBEsol) data for a relaxed structure of BaCaBiF7, as listed in the Alexandria database.

Its formation energy without anion corrections is -3317 meV/atom.

The space group is P2_1/c (No. 14) and the conventional cell measures 5.761, 11.004 and 9.549 Å, with angles of 90.00, 91.54 and 90.00 degrees. The inequivalent atoms are Ba at (0.245, 0.166, 0.023), Ca at (0.236, 0.634, 0.771), Bi at (0.273, 0.566, 0.143), F at (0.005, 0.715, 0.196), F at (0.006, 0.007, 0.849), F at (0.074, 0.117, 0.589), F at (0.330, 0.722, 0.989), F at (0.347, 0.019, 0.411), F at (0.482, 0.027, 0.840) and F at (0.498, 0.714, 0.246).

=====

Entry 13:
First-principles (GGA-PBEsol) data for a relaxed structure of BaCaRe2Bi, as listed in the Alexandria database.

The value obtained for the energy relative to the elements is 2227.8 meV/atom.

The space group is P4/mmm (No. 123) and the conventional cell measures 4.842, 4.842 and 5.470 Å, with angles of 90.00, 90.00 and 90.00 degrees. The inequivalent atoms are Ba at (0.000, 0.000, 0.000), Ca at (0.000, 0.000, 0.500), Re at (0.000, 0.500, 0.500) and Bi at (0.500, 0.500, 0.000).

=====

Entry 14:
First-principles (GGA-PBEsol) data for a relaxed structure of Ba2Cd3Bi4, as listed in the Alexandria database.

The value obtained for the energy relative to the elements is -497.3 meV/atom.

The space group is Cmce (No. 64) and the conventional cell measures 6.884, 17.435 and 9.252 Å, with angles of 90.00, 90.00 and 90.00 degrees. The inequivalent atoms are Ba at (0.000, 0.116, 0.078), Cd at (0.000, 0.000, 0.500), Cd at (0.250, 0.221, 0.750), Bi at (0.000, 0.185, 0.450) and Bi at (0.250, 0.052, 0.750).

=====

Entry 15:
First-principles (GGA-PBEsol) data for a relaxed structure of Ba2CdBi, as listed in the Alexandria database.

The value obtained for the energy relative to the elements is -616.5 meV/atom.

The space group is Fm-3m (No. 225) and the conventional cell measures 8.408, 8.408 and 8.408 Å, with angles of 90.00, 90.00 and 90.00 degrees. The inequivalent atoms are Ba at (0.250, 0.250, 0.250), Cd at (0.000, 0.000, 0.000) and Bi at (0.000, 0.000, 0.500).

=====

Entry 16:
First-principles (GGA-PBEsol) data for a relaxed structure of Ba3CdBi, as listed in the Alexandria database.

The value obtained for the energy relative to the elements is -166.7 meV/atom.

The space group is Pm-3m (No. 221) and the conventional cell measures 6.649, 6.649 and 6.649 Å, with angles of 90.00, 90.00 and 90.00 degrees. The inequivalent atoms are Ba at (0.000, 0.000, 0.500), Cd at (0.500, 0.500, 0.500) and Bi at (0.000, 0.000, 0.000).

=====

Entry 17:
First-principles (GGA-PBEsol) data for a relaxed structure of Ba2BiCl, as listed in the Alexandria database.

Its formation energy without anion corrections is -1451 meV/atom.

The space group is Fm-3m (No. 225) and the conventional cell measures 8.272, 8.272 and 8.272 Å, with angles of 90.00, 90.00 and 90.00 degrees. The inequivalent atoms are Ba at (0.250, 0.250, 0.250), Bi at (0.000, 0.000, 0.000) and Cl at (0.000, 0.000, 0.500).

=====

Entry 18:
First-principles (GGA-PBEsol) data for a relaxed structure of BaBi2Cl, as listed in the Alexandria database.

Its formation energy without anion corrections is -284 meV/atom.

The space group is Fm-3m (No. 225) and the conventional cell measures 8.017, 8.017 and 8.017 Å, with angles of 90.00, 90.00 and 90.00 degrees. The inequivalent atoms are Ba at (0.000, 0.000, 0.000), Bi at (0.250, 0.250, 0.250) and Cl at (0.000, 0.000, 0.500).

=====

Entry 19:
First-principles (GGA-PBEsol) data for a relaxed structure of BaCu2BiCl, as listed in the Alexandria database.

Its formation energy without anion corrections is 267 meV/atom. The energy above the lowest structure with this stoichiometry comes out at 0.000 eV/atom.

The space group is P4/mmm (No. 123) and the conventional cell measures 4.864, 4.864 and 5.724 Å, with angles of 90.00, 90.00 and 90.00 degrees. The inequivalent atoms are Ba at (0.000, 0.000, 0.000), Cu at (0.000, 0.500, 0.500), Bi at (0.500, 0.500, 0.000) and Cl at (0.500, 0.500, 0.500).

=====

Entry 20:
First-principles (GGA-PBEsol) data for a relaxed structure of BaCu2BiCl, as listed in the Alexandria database.

Its formation energy without anion corrections is 673 meV/atom. The energy above the lowest structure with this stoichiometry comes out at 0.407 eV/atom.

The space group is P4/mmm (No. 123) and the conventional cell measures 5.499, 5.499 and 5.457 Å, with angles of 90.00, 90.00 and 90.00 degrees. The inequivalent atoms are Ba at (0.000, 0.000, 0.000), Cu at (0.000, 0.500, 0.000), Bi at (0.500, 0.500, 0.500) and Cl at (0.000, 0.000, 0.500).

=====

| no. | mass density (g cm⁻³) | energy (eV per atom) | total magnetic moment (Bohr magnetons per cell) |
| --- | --- | --- | --- |
| 1 | 5.56 | -3.5004 | 3.4 |
| 2 | 5.82 | -6.1063 | 0.0 |
| 3 | 4.63 | -4.3601 | 0.0 |
| 4 | 5.29 | -3.7667 | 1.9 |
| 5 | 7.05 | -4.0803 | 0.0 |
| 6 | 6.69 | -3.9949 | 0.0 |
| 7 | 6.40 | -3.9911 | 0.0 |
| 8 | 5.19 | -4.1188 | 2.3 |
| 9 | 4.65 | -3.9953 | 2.9 |
| 10 | 6.19 | -3.8375 | 0.0 |
| 11 | 7.20 | -3.9332 | 0.0 |
| 12 | 5.70 | -5.5230 | 0.0 |
| 13 | 9.83 | -4.8185 | 0.0 |
| 14 | 8.66 | -3.2785 | 0.0 |
| 15 | 6.66 | -3.0616 | 0.0 |
| 16 | 4.14 | -2.5525 | 0.0 |
| 17 | 6.09 | -4.0988 | 0.0 |
| 18 | 7.61 | -3.4663 | 0.0 |
| 19 | 6.24 | -3.1556 | 0.0 |
| 20 | 5.12 | -2.7489 | 0.0 |